1.
A plane-wave DFT calculation with PBE-GGA was carried out for a relaxed MgSn3Pb crystal.

Calculated values
**Space group**: No. 221
**Offset from the most stable computed form**: 0 meV per atom
**ΔH_f (0 K)**: 0.38 eV/atom

Cell lengths 5.4202, 5.4202, 5.4202 Å; angles 90.00, 90.00, 90.00 degrees
Last column: nearest neighbours and their distance in Å.
Positions (direct):
Mg: 0.0000 0.0000 0.0000  6 Sn 2.71
Sn: 0.0000 0.0000 0.5000  2 Mg 2.71
Sn: 0.0000 0.5000 0.0000  2 Mg 2.71
Sn: 0.5000 0.0000 0.0000  2 Mg 2.71
Pb: 0.5000 0.5000 0.5000  12 Sn 3.83

---

2.
A plane-wave DFT calculation with PBE-GGA was carried out for a relaxed LiTb2O crystal.

Calculated values
**Space group**: No. 166
**Formation energy without anion corrections**: -4.549 eV/f.u.

Cell lengths 3.4658, 3.4658, 27.0367 Å; angles 90.00, 90.00, 120.00 degrees
Last column: nearest neighbours and their distance in Å.
Positions (direct):
Li: 0.0000 0.0000 0.0000  2 Tb 3.16, 6 Li 3.47
Li: 0.3333 0.6667 0.6667  2 Tb 3.16, 6 Li 3.47
Li: 0.6667 0.3333 0.3333  2 Tb 3.16, 6 Li 3.47
Tb: 0.0000 0.0000 0.1167  3 O 2.41
Tb: 0.0000 0.0000 0.8833  3 O 2.41
Tb: 0.3333 0.6667 0.5499  3 O 2.41
Tb: 0.3333 0.6667 0.7834  3 O 2.41
Tb: 0.6667 0.3333 0.2166  3 O 2.41
Tb: 0.6667 0.3333 0.4501  3 O 2.41
O: 0.0000 0.0000 0.5000  6 Tb 2.41
O: 0.3333 0.6667 0.1667  6 Tb 2.41
O: 0.6667 0.3333 0.8333  6 Tb 2.41

---

3.
A plane-wave DFT calculation with PBE-GGA was carried out for a relaxed CuNiOs crystal.

Calculated values
**Space group**: No. 44
**Offset from the most stable computed form**: 166 meV per atom
**ΔH_f (0 K)**: 0.31 eV/atom

Cell lengths 2.5652, 3.7220, 7.8546 Å; angles 90.00, 90.00, 90.00 degrees
Last column: nearest neighbours and their distance in Å.
Positions (direct):
Cu: 0.0000 0.0000 0.0000  2 Cu 2.57, 5 Os 2.59-2.63, 5 Ni 2.61-2.62
Cu: 0.5000 0.5000 0.5000  2 Cu 2.57, 5 Os 2.59-2.63, 5 Ni 2.61-2.62
Ni: 0.0000 0.0000 0.6669  2 Ni 2.57, 5 Os 2.60-2.65, 5 Cu 2.61-2.62
Ni: 0.5000 0.5000 0.1669  2 Ni 2.57, 5 Os 2.60-2.65, 5 Cu 2.61-2.62
Os: 0.0000 0.0000 0.3294  2 Os 2.57, 5 Cu 2.59-2.63, 5 Ni 2.60-2.65
Os: 0.5000 0.5000 0.8294  2 Os 2.57, 5 Cu 2.59-2.63, 5 Ni 2.60-2.65

---

4.
A plane-wave DFT calculation with PBE-GGA was carried out for a relaxed Na2AlGa4 crystal.

Calculated values
**Space group**: No. 65
**ΔH_f (0 K)**: 0.05 eV/atom

Cell lengths 4.8335, 20.4279, 3.0580 Å; angles 90.00, 90.00, 90.00 degrees
Last column: nearest neighbours and their distance in Å.
Positions (direct):
Na: 0.0000 0.2027 0.0000  4 Ga 2.99-3.15, 4 Na 3.06-3.09
Na: 0.0000 0.7973 0.0000  4 Ga 2.99-3.15, 4 Na 3.06-3.09
Na: 0.5000 0.2973 0.0000  4 Ga 2.99-3.15, 4 Na 3.06-3.09
Na: 0.5000 0.7027 0.0000  4 Ga 2.99-3.15, 4 Na 3.06-3.09
Al: 0.0000 0.5000 0.5000  8 Ga 2.79-2.83, 2 Al 3.06
Al: 0.5000 0.0000 0.5000  8 Ga 2.79-2.83, 2 Al 3.06
Ga: 0.0000 0.0680 0.5000  7 Ga 2.78-3.06, 2 Al 2.79
Ga: 0.0000 0.3833 0.0000  2 Al 2.83, 2 Na 2.99, 6 Ga 3.03-3.06
Ga: 0.0000 0.6167 0.0000  2 Al 2.83, 2 Na 2.99, 6 Ga 3.03-3.06
Ga: 0.0000 0.9320 0.5000  7 Ga 2.78-3.06, 2 Al 2.79
Ga: 0.5000 0.1167 0.0000  2 Al 2.83, 2 Na 2.99, 6 Ga 3.03-3.06
Ga: 0.5000 0.4320 0.5000  7 Ga 2.78-3.06, 2 Al 2.79
Ga: 0.5000 0.5680 0.5000  7 Ga 2.78-3.06, 2 Al 2.79
Ga: 0.5000 0.8833 0.0000  2 Al 2.83, 2 Na 2.99, 6 Ga 3.03-3.06

---

5.
A plane-wave DFT calculation with PBE-GGA was carried out for a relaxed Hf2As3 crystal.

Calculated values
**Space group**: No. 12
**ΔH_f (0 K)**: -0.66 eV/atom

Cell lengths 9.6779, 3.6920, 6.8882 Å; angles 90.00, 128.61, 90.00 degrees
Last column: nearest neighbours and their distance in Å.
Positions (direct):
Hf: 0.0395 0.0000 0.2637  7 As 2.64-2.89
Hf: 0.4605 0.5000 0.7363  7 As 2.64-2.89
Hf: 0.5395 0.5000 0.2637  7 As 2.64-2.89
Hf: 0.9605 0.0000 0.7363  7 As 2.64-2.89
As: 0.0000 0.5000 0.5000  4 Hf 2.64
As: 0.1960 0.5000 0.1365  5 Hf 2.85-2.89, 3 As 3.00-3.02
As: 0.3040 0.0000 0.8635  5 Hf 2.85-2.89, 3 As 3.00-3.02
As: 0.5000 0.0000 0.5000  4 Hf 2.64
As: 0.6960 0.0000 0.1365  5 Hf 2.85-2.89, 3 As 3.00-3.02
As: 0.8040 0.5000 0.8635  5 Hf 2.85-2.89, 3 As 3.00-3.02

---

Result set for Fermi-level density of states: 3.990; 3.013; 4.585; 2.871; 2.088 states/eV/f.u., one per record in the order listed.
Result set for DFT total energy: -0.113; -0.190; -0.247; -0.095; -0.273 Ha/atom, one per record in the order listed.